A plane-wave DFT calculation with PBE was carried out for a geometry-optimized VZn2Cu2 structure.

## Properties
- Energy above the lowest structure with this stoichiometry: 17 meV per atom
- N(E_F): 0.6549 states/eV per atom
- Density: 7.62 Mg/m³
- Calculated formation energy: 0.123 eV/atom
- Magnetization: 1.26 μB per formula unit
- SG: P4/mbm

Cell and atoms, written as POSCAR:
```
VZn2Cu2
1.0
-3.967 2.790 -5.297
-4.411 -5.659 0.322
-1.471 1.247 1.759
V Cu Zn
2 4 4
direct
0.000 0.000 0.000 V
0.500 0.500 0.000 V
0.170 0.670 0.500 Cu
0.670 0.830 0.500 Cu
0.830 0.330 0.500 Cu
0.330 0.170 0.500 Cu
0.871 0.629 0.000 Zn
0.371 0.871 0.000 Zn
0.129 0.371 0.000 Zn
0.629 0.129 0.000 Zn
```